This record from Alexandria describes an optimized crystal structure of Hg3IrPd. The functional is PBE-GGA.

a b c (Å): 5.185 5.185 5.185
angles (deg): 90.00 90.00 90.00
Positions (direct):
Ir (0.000, 0.000, 0.000)
Hg (0.500, 0.000, 0.000)
Hg (0.000, 0.000, 0.500)
Hg (0.000, 0.500, 0.000)
Pd (0.500, 0.500, 0.500)

Results
**Energy relative to the elements**: 3.483 eV/f.u.
**E above lowest polymorph**: 0 meV per atom
**Fermi-level density of states**: 0.418 states/eV per atom
**Electronic total energy**: -0.084 Ha/atom